Computed, not measured: an optimized crystal structure of Rb2NaCu at the PBE-GGA level of DFT.

CIF file:
```
data_Rb2NaCu
_chemical_formula_sum 'Rb8 Na4 Cu4'
_symmetry_space_group_name_H-M 'I -4 2 d'
_symmetry_Int_Tables_number 122
_symmetry_space_group_name_Hall 'I -4 2bw'
_cell_length_a 12.196
_cell_length_b 12.196
_cell_length_c 5.817
_cell_angle_alpha 90.00
_cell_angle_beta 90.00
_cell_angle_gamma 90.00
loop_
_atom_site_label
_atom_site_type_symbol
_atom_site_fract_x
_atom_site_fract_y
_atom_site_fract_z
Rb1 Rb 0.107 0.250 0.125
Na1 Na 0.000 0.000 0.500
Cu1 Cu 0.000 0.000 0.000
```

Properties
* E_tot: -1.538 eV per atom
* energy relative to the lowest polymorph listed for this composition: 0 meV/atom
* total magnetic moment: 0.0 μB per cell
* formation energy from the elements: 0.2993 eV per atom
* DOS at the Fermi energy: 0.13 states/eV per atom